1.
Er3Tl4InTe8 | PBE | optimized geometry

## Properties
ΔE_f (raw) = -1293.4 kJ/mol of formula units
magnetic moment = 0.000 μB/atom
Fermi-level density of states = 6.52 states/eV per cell

The structure in CIF format:
```
data_Er3Tl4InTe8
_symmetry_space_group_name_H-M 'R -3 m'
_symmetry_Int_Tables_number 166
_symmetry_space_group_name_Hall '-R 3 2"'
_cell_length_a 8.8644
_cell_length_b 8.8644
_cell_length_c 24.3673
_cell_angle_alpha 90.00
_cell_angle_beta 90.00
_cell_angle_gamma 120.00
loop_
_atom_site_label
_atom_site_type_symbol
_atom_site_fract_x
_atom_site_fract_y
_atom_site_fract_z
_atom_site_occupancy
Er1 Er 0.0000 0.5000 0.0000 1
Tl1 Tl 0.0000 0.0000 0.5000 1
Tl2 Tl 0.0000 0.5000 0.5000 1
In1 In 0.0000 0.0000 0.0000 1
Te1 Te 0.0000 0.0000 0.2625 1
Te2 Te 0.0012 0.5006 0.7368 1
```

2.
Er3Tl3InTe8 | PBE | optimized geometry

## Properties
ΔE_f (raw) = -1192.2 kJ/mol of formula units
magnetic moment = 0.000 μB/atom
Fermi-level density of states = 15.62 states/eV per cell

The structure in CIF format:
```
data_Er3Tl3InTe8
_symmetry_space_group_name_H-M 'C 1 2/m 1'
_symmetry_Int_Tables_number 12
_cell_length_a 15.150
_cell_length_b 8.732
_cell_length_c 9.610
_cell_angle_alpha 90.00
_cell_angle_beta 121.76
_cell_angle_gamma 90.00
loop_
_symmetry_equiv_pos_as_xyz
'x,y,z'
'-x,-y,-z'
'-x,y,-z'
'x,-y,z'
'x+1/2,y+1/2,z'
'-x+1/2,-y+1/2,-z'
'-x+1/2,y+1/2,-z'
'x+1/2,-y+1/2,z'
loop_
_atom_site_label
_atom_site_type_symbol
_atom_site_fract_x
_atom_site_fract_y
_atom_site_fract_z
_atom_site_occupancy
Er1 Er 0.000 0.000 0.000 1
Er2 Er 0.250 0.250 0.000 1
Tl1 Tl 0.000 0.500 0.500 1
Tl2 Tl 0.250 0.250 0.500 1
In1 In 0.000 0.500 0.000 1
Te1 Te 0.013 0.251 0.789 1
Te2 Te 0.236 0.500 0.211 1
Te3 Te 0.238 0.000 0.214 1
```

3.
Er3TmIn4Te8 | PBE | optimized geometry

## Properties
ΔE_f (raw) = -1469.4 kJ/mol of formula units
magnetic moment = 0.000 μB/atom
Fermi-level density of states = 4.62 states/eV per cell

The structure in CIF format:
```
data_Er3TmIn4Te8
_symmetry_space_group_name_H-M 'R -3 m'
_symmetry_Int_Tables_number 166
_symmetry_space_group_name_Hall '-R 3 2"'
_cell_length_a 8.7642
_cell_length_b 8.7642
_cell_length_c 24.3517
_cell_angle_alpha 90.00
_cell_angle_beta 90.00
_cell_angle_gamma 120.00
loop_
_atom_site_label
_atom_site_type_symbol
_atom_site_fract_x
_atom_site_fract_y
_atom_site_fract_z
_atom_site_occupancy
Er1 Er 0.0000 0.5000 0.0000 1
Tm1 Tm 0.0000 0.0000 0.0000 1
In1 In 0.0000 0.0000 0.5000 1
In2 In 0.0000 0.5000 0.5000 1
Te1 Te 0.0000 0.0000 0.2611 1
Te2 Te 0.0012 0.5006 0.7387 1
```

4.
Er2TmIn3Te6 | PBE | optimized geometry

## Properties
ΔE_f (raw) = -1100.6 kJ/mol of formula units
magnetic moment = 0.000 μB/atom
Fermi-level density of states = 1.70 states/eV per cell

The structure in CIF format:
```
data_Er2TmIn3Te6
_symmetry_space_group_name_H-M 'C 1 2/m 1'
_symmetry_Int_Tables_number 12
_cell_length_a 7.589
_cell_length_b 13.145
_cell_length_c 8.507
_cell_angle_alpha 90.00
_cell_angle_beta 107.29
_cell_angle_gamma 90.00
loop_
_symmetry_equiv_pos_as_xyz
'x,y,z'
'-x,-y,-z'
'-x,y,-z'
'x,-y,z'
'x+1/2,y+1/2,z'
'-x+1/2,-y+1/2,-z'
'-x+1/2,y+1/2,-z'
'x+1/2,-y+1/2,z'
loop_
_atom_site_label
_atom_site_type_symbol
_atom_site_fract_x
_atom_site_fract_y
_atom_site_fract_z
_atom_site_occupancy
Er1 Er 0.000 0.167 0.000 1
Tm1 Tm 0.000 0.500 0.000 1
In1 In 0.000 0.000 0.500 1
In2 In 0.000 0.333 0.500 1
Te1 Te 0.238 0.334 0.216 1
Te2 Te 0.240 0.000 0.216 1
```

5.
YEr3In3Te8 | PBE | optimized geometry

## Properties
ΔE_f (raw) = -1447.1 kJ/mol of formula units
magnetic moment = 0.000 μB/atom
Fermi-level density of states = 15.95 states/eV per cell

The structure in CIF format:
```
data_YEr3In3Te8
_symmetry_space_group_name_H-M 'R -3 m'
_symmetry_Int_Tables_number 166
_symmetry_space_group_name_Hall '-R 3 2"'
_cell_length_a 8.7258
_cell_length_b 8.7258
_cell_length_c 23.6334
_cell_angle_alpha 90.00
_cell_angle_beta 90.00
_cell_angle_gamma 120.00
loop_
_atom_site_label
_atom_site_type_symbol
_atom_site_fract_x
_atom_site_fract_y
_atom_site_fract_z
_atom_site_occupancy
Y1 Y 0.0000 0.0000 0.0000 1
Er1 Er 0.0000 0.5000 0.0000 1
In1 In 0.0000 0.5000 0.5000 1
Te1 Te 0.0000 0.0000 0.2586 1
Te2 Te 0.0038 0.5019 0.2587 1
```

6.
Y3ErIn3Te8 | PBE | optimized geometry

## Properties
ΔE_f (raw) = -1470.7 kJ/mol of formula units
magnetic moment = 0.000 μB/atom
Fermi-level density of states = 16.66 states/eV per cell

The structure in CIF format:
```
data_Y3ErIn3Te8
_symmetry_space_group_name_H-M 'R -3 m'
_symmetry_Int_Tables_number 166
_symmetry_space_group_name_Hall '-R 3 2"'
_cell_length_a 8.7596
_cell_length_b 8.7596
_cell_length_c 23.6561
_cell_angle_alpha 90.00
_cell_angle_beta 90.00
_cell_angle_gamma 120.00
loop_
_atom_site_label
_atom_site_type_symbol
_atom_site_fract_x
_atom_site_fract_y
_atom_site_fract_z
_atom_site_occupancy
Y1 Y 0.0000 0.5000 0.0000 1
Er1 Er 0.0000 0.0000 0.0000 1
In1 In 0.0000 0.5000 0.5000 1
Te1 Te 0.0000 0.0000 0.2576 1
Te2 Te 0.0011 0.5006 0.7414 1
```

7.
YEr2In3Te6 | PBE | optimized geometry

## Properties
ΔE_f (raw) = -1117.0 kJ/mol of formula units
magnetic moment = 0.000 μB/atom
Fermi-level density of states = 2.12 states/eV per cell

The structure in CIF format:
```
data_YEr2In3Te6
_symmetry_space_group_name_H-M 'C 1 2/m 1'
_symmetry_Int_Tables_number 12
_cell_length_a 7.615
_cell_length_b 13.190
_cell_length_c 8.499
_cell_angle_alpha 90.00
_cell_angle_beta 107.39
_cell_angle_gamma 90.00
loop_
_symmetry_equiv_pos_as_xyz
'x,y,z'
'-x,-y,-z'
'-x,y,-z'
'x,-y,z'
'x+1/2,y+1/2,z'
'-x+1/2,-y+1/2,-z'
'-x+1/2,y+1/2,-z'
'x+1/2,-y+1/2,z'
loop_
_atom_site_label
_atom_site_type_symbol
_atom_site_fract_x
_atom_site_fract_y
_atom_site_fract_z
_atom_site_occupancy
Y1 Y 0.000 0.000 0.000 1
Er1 Er 0.000 0.333 0.000 1
In1 In 0.000 0.166 0.500 1
In2 In 0.000 0.500 0.500 1
Te1 Te 0.237 0.500 0.217 1
Te2 Te 0.241 0.168 0.218 1
```

8.
Y2ErIn3Te6 | PBE | optimized geometry

## Properties
ΔE_f (raw) = -1129.3 kJ/mol of formula units
magnetic moment = 0.000 μB/atom
Fermi-level density of states = 2.34 states/eV per cell

The structure in CIF format:
```
data_Y2ErIn3Te6
_symmetry_space_group_name_H-M 'C 1 2/m 1'
_symmetry_Int_Tables_number 12
_cell_length_a 7.633
_cell_length_b 13.219
_cell_length_c 8.497
_cell_angle_alpha 90.00
_cell_angle_beta 107.42
_cell_angle_gamma 90.00
loop_
_symmetry_equiv_pos_as_xyz
'x,y,z'
'-x,-y,-z'
'-x,y,-z'
'x,-y,z'
'x+1/2,y+1/2,z'
'-x+1/2,-y+1/2,-z'
'-x+1/2,y+1/2,-z'
'x+1/2,-y+1/2,z'
loop_
_atom_site_label
_atom_site_type_symbol
_atom_site_fract_x
_atom_site_fract_y
_atom_site_fract_z
_atom_site_occupancy
Y1 Y 0.000 0.166 0.000 1
Er1 Er 0.000 0.500 0.000 1
In1 In 0.000 0.000 0.500 1
In2 In 0.000 0.332 0.500 1
Te1 Te 0.238 0.334 0.218 1
Te2 Te 0.242 0.000 0.219 1
```